(1)
A plane-wave DFT calculation with meta-GGA SCAN was carried out for a crystal of ReClO3 relaxed with PBEsol.

a b c (Å): 5.600 9.271 8.923
angles (deg): 90.00 122.22 90.00
Positions (direct):
Re  0.072  0.230  0.263
Re  0.072  0.270  0.763
Re  0.928  0.730  0.237
Re  0.928  0.770  0.737
Cl  0.344  0.079  0.228
Cl  0.344  0.421  0.728
Cl  0.656  0.579  0.272
Cl  0.656  0.921  0.772
O  0.072  0.180  0.448
O  0.072  0.320  0.948
O  0.191  0.095  0.797
O  0.191  0.405  0.297
O  0.272  0.728  0.412
O  0.272  0.772  0.912
O  0.728  0.228  0.088
O  0.728  0.272  0.588
O  0.809  0.595  0.703
O  0.809  0.905  0.203
O  0.928  0.680  0.052
O  0.928  0.820  0.552

Calculated values
M_tot ... 0.000 μB/atom
SG ... No. 14


(2)
A plane-wave DFT calculation with meta-GGA SCAN was carried out for a crystal of Re2Cl5O4 relaxed with PBEsol.

a b c (Å): 5.656 8.938 11.267
angles (deg): 68.57 80.70 79.05
Positions (direct):
Re  0.142  0.107  0.193
Re  0.286  0.598  0.650
Re  0.714  0.402  0.350
Re  0.858  0.893  0.807
Cl  0.082  0.098  0.700
Cl  0.110  0.805  0.965
Cl  0.246  0.364  0.118
Cl  0.268  0.075  0.384
Cl  0.455  0.374  0.788
Cl  0.545  0.626  0.212
Cl  0.732  0.925  0.616
Cl  0.754  0.636  0.882
Cl  0.890  0.195  0.035
Cl  0.918  0.902  0.300
O  0.033  0.560  0.607
O  0.201  0.751  0.717
O  0.383  0.009  0.130
O  0.481  0.665  0.515
O  0.519  0.335  0.485
O  0.617  0.991  0.870
O  0.799  0.249  0.283
O  0.967  0.440  0.393

Calculated values
M_tot ... 0.091 μB/atom
SG ... No. 2
E above lowest polymorph ... 0 meV/atom


(3)
A plane-wave DFT calculation with meta-GGA SCAN was carried out for a crystal of ReCl3O relaxed with PBEsol.

a b c (Å): 4.451 4.451 4.451
angles (deg): 90.00 90.00 90.00
Positions (direct):
Re  0.000  0.000  0.000
Cl  0.000  0.500  0.500
Cl  0.500  0.000  0.500
Cl  0.500  0.500  0.000
O  0.500  0.500  0.500

Calculated values
M_tot ... 0.995 μB/atom
SG ... No. 221


(4)
A plane-wave DFT calculation with meta-GGA SCAN was carried out for a crystal of Re2Cl5O4 relaxed with PBEsol.

a b c (Å): 5.710 6.412 8.609
angles (deg): 108.88 108.10 95.70
Positions (direct):
Re  0.000  0.000  0.000
Re  0.495  0.014  0.450
Cl  0.195  0.754  0.857
Cl  0.279  0.288  0.009
Cl  0.482  0.324  0.651
Cl  0.852  0.722  0.079
Cl  0.933  0.257  0.228
O  0.328  0.781  0.453
O  0.361  0.030  0.244
O  0.742  0.982  0.829
O  0.800  0.989  0.483

Calculated values
M_tot ... 0.091 μB/atom
SG ... No. 1
E above lowest polymorph ... 10 meV/atom


(5)
A plane-wave DFT calculation with meta-GGA SCAN was carried out for a crystal of Re3ClO relaxed with PBEsol.

a b c (Å): 4.288 4.288 4.288
angles (deg): 90.00 90.00 90.00
Positions (direct):
Re  0.000  0.000  0.500
Re  0.000  0.500  0.000
Re  0.500  0.000  0.000
Cl  0.000  0.000  0.000
O  0.500  0.500  0.500

Calculated values
M_tot ... 0.729 μB/atom
SG ... No. 221


(6)
A plane-wave DFT calculation with meta-GGA SCAN was carried out for a crystal of ReS2ClO relaxed with PBEsol.

a b c (Å): 4.475 4.475 4.878
angles (deg): 90.00 90.00 90.00
Positions (direct):
Re  0.000  0.000  0.000
S  0.000  0.500  0.000
S  0.500  0.000  0.000
Cl  0.000  0.000  0.500
O  0.500  0.500  0.500

Calculated values
M_tot ... 0.364 μB/atom
SG ... No. 123


(7)
A plane-wave DFT calculation with meta-GGA SCAN was carried out for a crystal of RhClO2 relaxed with PBEsol.

a b c (Å): 5.605 5.605 5.605
angles (deg): 116.84 116.84 95.57
Positions (direct):
Rh  0.000  0.000  0.000
Rh  0.750  0.250  0.500
Cl  0.250  0.750  0.500
Cl  0.500  0.500  0.000
O  0.375  0.022  0.147
O  0.772  0.625  0.647
O  0.875  0.228  0.853
O  0.978  0.125  0.353

Calculated values
M_tot ... 0.117 μB/atom
SG ... No. 122


(8)
A plane-wave DFT calculation with meta-GGA SCAN was carried out for a crystal of RhClO2 relaxed with PBEsol.

a b c (Å): 3.887 3.887 3.887
angles (deg): 60.00 60.00 60.00
Positions (direct):
Rh  0.000  0.000  0.000
Cl  0.500  0.500  0.500
O  0.250  0.250  0.250
O  0.750  0.750  0.750

Calculated values
M_tot ... 0.000 μB/atom
SG ... No. 225


E_form (uncorrected) for every record listed, in sequence, given in meV per atom: -1338; -1102; 1382; -1093; 2657; 553; -40; 980.